1.
Computed, not measured: NaGeH2F8 after structural relaxation at the PBE level of DFT.

The structure in extended XYZ format:
```
12
Lattice="-4.7329 0.1168 -0.1367 -1.6546 -4.6852 0.5529 -0.1004 1.7483 6.5386" Properties=species:S:1:pos:R:3 pbc="T T T"
Na -0.0502 0.8741 3.2693
Ge 0.0000 0.0000 0.0000
H -2.0806 -0.8723 4.5307
H -4.4072 -1.9479 2.4241
F -2.0945 -3.2231 1.4759
F -4.7373 -2.1032 6.8539
F -4.3538 -0.6935 1.4586
F -4.3934 0.4029 5.4789
F -1.7505 -0.7170 0.1008
F -2.1340 -2.1267 5.4962
F -4.4759 -2.5223 3.1952
F -2.0120 -0.2978 3.7596
```

***

2.
Computed, not measured: Ce2ErSn2Hg2 after structural relaxation at the PBE level of DFT.

The structure in extended XYZ format:
```
7
Lattice="-1.7575 0.8059 -4.4932 2.9337 -0.4409 -3.8892 -1.8480 -8.6439 -3.4901" Properties=species:S:1:pos:R:3 pbc="T T T"
Ce -0.9026 -4.9447 -3.1964
Ce 0.2309 -3.3343 -8.6760
Er 0.0000 0.0000 0.0000
Sn -0.6718 -6.8667 -8.9565
Sn 0.0001 -1.4123 -2.9159
Hg 0.1477 -2.2473 -5.7860
Hg -0.8194 -6.0317 -6.0864
```

Output
* ΔE_f: -0.25 eV per atom

***

3.
Computed, not measured: LiZr2Ta after structural relaxation at the PBE level of DFT.

The structure in extended XYZ format:
```
4
Lattice="-0.0594 0.0007 5.2139 0.8495 -5.0152 -1.1464 3.0062 0.5014 0.0342" Properties=species:S:1:pos:R:3 pbc="T T T"
Li 1.4734 0.2511 2.6240
Ta 1.9279 -2.2569 -0.5561
Zr 0.0000 0.0000 0.0000
Zr 0.3951 -2.5072 2.0338
```

Output
* ΔE_f: 0.25 eV per atom
* excess energy over the best structure of this formula in the dataset: 0.42 eV/f.u.

***

4.
Computed, not measured: VHgH after structural relaxation at the PBE level of DFT.

The structure in extended XYZ format:
```
6
Lattice="-0.4935 5.1589 -0.3214 -7.7212 0.2482 -5.1248 -8.2571 -2.3154 -3.5215" Properties=species:S:1:pos:R:3 pbc="T T T"
H -11.3906 -0.9246 -6.0597
H -13.0181 1.4762 -6.9675
Hg -15.2833 2.8612 -8.3121
Hg -9.3588 1.0163 -5.0790
V -11.5978 2.4026 -6.2072
V -12.9509 -0.3838 -6.9121
```

Output
* excess energy over the best structure of this formula in the dataset: 0.01 eV/f.u.

***

5.
Computed, not measured: CuB2Os2 after structural relaxation at the PBE level of DFT.

The structure in extended XYZ format:
```
5
Lattice="2.8747 0.0000 0.0000 0.0000 2.8747 0.0000 1.4373 1.4373 6.5978" Properties=species:S:1:pos:R:3 pbc="T T T"
B 2.8747 1.4373 3.2989
B 1.4373 2.8747 3.2989
Os 1.4373 1.4373 1.6704
Os 2.8747 2.8747 4.9274
Cu 0.0000 0.0000 0.0000
```

Output
* ΔE_f: 0.09 eV per atom

***

6.
Computed, not measured: Ce3Co2Ru after structural relaxation at the PBE level of DFT.

The structure in extended XYZ format:
```
24
Lattice="-0.0642 9.0528 0.4169 -9.4193 -0.0516 -0.3284 -0.1774 -2.6370 5.5033" Properties=species:S:1:pos:R:3 pbc="T T T"
Ce -8.0727 -0.6067 5.0143
Ce -3.2986 1.1170 3.0631
Ce -1.5882 6.9709 0.5776
Ce -6.3623 5.2472 2.5287
Ce -4.8890 2.7898 0.8208
Ce -0.2003 0.3909 1.9661
Ce -4.7718 3.5744 4.7711
Ce -9.4606 5.9733 3.6257
Ce -6.1730 -0.5960 1.5458
Ce -1.4676 3.7627 1.1521
Ce -3.4879 6.9601 4.0460
Ce -8.1933 2.6015 4.4397
Co -8.7839 6.3061 1.4089
Co -4.0701 5.8851 1.5264
Co -0.8770 0.0581 4.1829
Co -5.5907 0.4791 4.0654
Co -6.4051 2.1303 2.4223
Co -1.6083 1.0344 0.2627
Co -3.2558 4.2339 3.1696
Co -8.0526 5.3298 5.3292
Ru -8.3977 3.6713 1.6796
Ru -3.6950 8.5241 1.2823
Ru -1.2631 2.6929 3.9122
Ru -5.9659 -2.1599 4.3096
```

Output
* ΔE_f: -0.22 eV per atom

***

In Ha/atom, the VASP energy values for the records above are, in order, -0.15710; -0.14067; -0.27445; -0.15576; -0.28990; -0.26113.